No. 1
The following is a PBE calculation of CaHS after structural relaxation, from Alexandria via LeMat-Bulk.

```
CaHS
1.0
3.627 0.000 0.000
0.000 3.979 0.000
0.000 0.000 6.906
S Ca H
2 2 2
direct
0.500 0.000 0.343
0.500 0.500 0.853
0.000 0.500 0.177
0.000 0.000 0.687
0.108 0.500 0.514
0.892 0.500 0.514
```

Computed properties:
magnetic moment = 0.00 μB per formula unit
raw total energy = -4.413 eV/atom



No. 2
The following is a PBE calculation of CaHS after structural relaxation, from Alexandria via LeMat-Bulk.

```
CaHS
1.0
-2.468 6.976 -3.480
-4.863 -2.403 -1.368
-1.897 0.891 5.180
S H Ca
4 4 4
direct
0.183 0.718 0.793
0.817 0.218 0.707
0.817 0.718 0.207
0.183 0.218 0.293
0.522 0.712 0.445
0.522 0.212 0.945
0.478 0.212 0.055
0.478 0.712 0.555
0.833 0.218 0.212
0.833 0.718 0.712
0.167 0.218 0.788
0.167 0.718 0.288
```

Computed properties:
magnetic moment = 0.00 μB per formula unit
raw total energy = -4.488 eV/atom



No. 3
The following is a PBE calculation of Ca2H2S after structural relaxation, from Alexandria via LeMat-Bulk.

```
Ca2H2S
1.0
-3.805 0.189 -0.848
1.505 -3.274 1.499
-2.493 4.428 12.177
Ca H S
4 4 2
direct
0.333 0.667 0.881
0.333 0.667 0.619
0.667 0.333 0.381
0.667 0.333 0.119
0.667 0.333 0.558
0.333 0.667 0.058
0.667 0.333 0.942
0.333 0.667 0.442
0.000 0.000 0.750
0.000 0.000 0.250
```

Computed properties:
magnetic moment = 0.00 μB per formula unit
raw total energy = -4.120 eV/atom
ΔE to the lowest computed polymorph = 0 meV per atom



No. 4
The following is a PBE calculation of CaHS after structural relaxation, from Alexandria via LeMat-Bulk.

```
CaHS
1.0
-1.128 0.329 3.747
-0.869 -4.025 0.093
5.167 -1.066 2.492
S H Ca
2 2 2
direct
0.612 0.872 0.335
0.108 0.373 0.778
0.690 0.372 0.028
0.030 0.873 0.085
0.118 0.372 0.279
0.602 0.873 0.834
```

Computed properties:
magnetic moment = 0.00 μB per formula unit
raw total energy = -3.996 eV/atom



No. 5
The following is a PBE calculation of SrCaHS2 after structural relaxation, from Alexandria via LeMat-Bulk.

```
SrCaHS2
1.0
5.490 0.000 0.000
0.000 4.230 0.000
0.000 0.000 5.490
H S Ca Sr
1 2 1 1
direct
0.000 0.500 0.000
0.000 0.000 0.500
0.500 0.000 0.000
0.500 0.500 0.500
0.000 0.000 0.000
```

Computed properties:
magnetic moment = 0.66 μB per formula unit
raw total energy = -3.813 eV/atom



No. 6
The following is a PBE calculation of CaZr2HS after structural relaxation, from Alexandria via LeMat-Bulk.

```
CaZr2HS
1.0
-1.956 -0.532 -4.342
-2.408 -5.001 1.697
-3.896 2.373 1.465
Zr H Ca S
2 1 1 1
direct
0.000 0.000 0.500
0.500 0.000 0.000
0.000 0.500 0.000
0.500 0.500 0.500
0.000 0.000 0.000
```

Computed properties:
magnetic moment = 0.00 μB per formula unit
raw total energy = -5.063 eV/atom



No. 7
The following is a PBE calculation of Ca5Sb4H after structural relaxation, from Alexandria via LeMat-Bulk.

```
Ca5Sb4H
1.0
6.355 0.000 0.000
3.178 6.898 0.000
3.178 0.000 6.898
Ca Sb H
5 4 1
direct
0.275 0.825 0.626
0.101 0.626 0.175
0.901 0.374 0.825
0.441 0.000 0.000
0.726 0.175 0.374
0.811 0.779 0.604
0.590 0.604 0.221
0.193 0.221 0.396
0.415 0.396 0.779
0.058 0.000 0.000
```

Computed properties:
magnetic moment = 0.00 μB per formula unit
raw total energy = -3.641 eV/atom



No. 8
The following is a PBE calculation of Ca3SbH3 after structural relaxation, from Alexandria via LeMat-Bulk.

```
Ca3SbH3
1.0
-6.062 1.365 -3.428
-1.358 -3.165 -6.205
-5.614 -5.957 0.209
H Ca Sb
6 6 2
direct
0.419 0.826 0.613
0.826 0.141 0.613
0.174 0.859 0.387
0.141 0.419 0.613
0.581 0.174 0.387
0.859 0.581 0.387
0.547 0.908 0.286
0.908 0.259 0.286
0.453 0.092 0.714
0.092 0.741 0.714
0.259 0.547 0.286
0.741 0.453 0.714
0.666 0.666 0.001
0.334 0.334 0.999
```

Computed properties:
magnetic moment = 0.00 μB per formula unit
raw total energy = -3.472 eV/atom



No. 9
The following is a PBE calculation of Ca6Sb2H after structural relaxation, from Alexandria via LeMat-Bulk.

```
Ca6Sb2H
1.0
-2.183 -6.603 -0.276
6.183 -2.143 2.370
-4.433 0.946 12.421
Ca H Sb
12 2 4
direct
0.198 0.802 0.135
0.698 0.698 0.365
0.802 0.198 0.135
0.698 0.698 0.635
0.295 0.295 0.000
0.302 0.302 0.635
0.205 0.795 0.500
0.198 0.802 0.865
0.795 0.205 0.500
0.302 0.302 0.365
0.705 0.705 0.000
0.802 0.198 0.865
0.500 0.500 0.500
0.000 0.000 0.000
0.000 0.000 0.686
0.000 0.000 0.314
0.500 0.500 0.814
0.500 0.500 0.186
```

Computed properties:
magnetic moment = 0.00 μB per formula unit
raw total energy = -3.069 eV/atom



No. 10
The following is a PBE calculation of Ca5Sb2H after structural relaxation, from Alexandria via LeMat-Bulk.

```
Ca5Sb2H
1.0
-5.364 -0.280 4.596
-3.289 -4.708 -4.123
6.446 -0.963 2.024
Ca Sb H
5 2 1
direct
0.753 0.753 0.008
0.755 0.755 0.509
0.255 0.255 0.008
0.255 0.753 0.008
0.753 0.255 0.008
0.255 0.755 0.510
0.755 0.255 0.510
0.996 0.996 0.992
```

Computed properties:
magnetic moment = 0.00 μB per formula unit
raw total energy = -3.297 eV/atom



No. 11
The following is a PBE calculation of CaSbH2 after structural relaxation, from Alexandria via LeMat-Bulk.

```
CaSbH2
1.0
4.914 0.000 0.000
0.000 4.914 0.000
2.457 2.457 5.676
Ca H Sb
2 4 2
direct
0.250 0.750 0.500
0.500 0.500 0.000
0.163 0.625 0.250
0.587 0.125 0.250
0.875 0.837 0.750
0.375 0.413 0.750
0.000 0.000 0.000
0.750 0.250 0.500
```

Computed properties:
magnetic moment = 0.00 μB per formula unit
raw total energy = -3.180 eV/atom
ΔE to the lowest computed polymorph = 0 meV per atom



No. 12
The following is a PBE calculation of Ca3SbH after structural relaxation, from Alexandria via LeMat-Bulk.

```
Ca3SbH
1.0
-7.467 -0.465 -1.996
-0.557 -5.433 -5.089
3.119 -4.770 3.146
H Sb Ca
2 2 6
direct
0.982 0.434 0.831
0.004 0.768 0.653
0.753 0.436 0.167
0.233 0.766 0.317
0.295 0.858 0.866
0.794 0.751 0.800
0.191 0.450 0.684
0.223 0.196 0.264
0.762 0.005 0.220
0.690 0.343 0.618
```

Computed properties:
magnetic moment = 0.00 μB per formula unit
raw total energy = -3.330 eV/atom
ΔE to the lowest computed polymorph = 0 meV per atom